# 1
Here is crystalline Na2FePF at its relaxed geometry from the Alexandria database. Energies are from PBE with a Hubbard U. Values from VASP.

E: -3.607 eV per atom
space-group type: No. 123

Cell and atoms, written as Quantum ESPRESSO input:
```
&SYSTEM
  ibrav = 0, nat = 5, ntyp = 4
/
ATOMIC_SPECIES
Fe 55.84 Fe.upf
P 30.97 P.upf
Na 22.99 Na.upf
F 19.00 F.upf
CELL_PARAMETERS angstrom
4.037 0.000 0.000
0.000 6.260 0.000
0.000 0.000 4.037
ATOMIC_POSITIONS crystal
Fe 0.500 0.500 0.500
P 0.000 0.500 0.000
Na 0.000 0.000 0.500
Na 0.500 0.000 0.000
F 0.000 0.000 0.000
```

=====

# 2
Here is crystalline NaFePb2F8 at its relaxed geometry from the Alexandria database. Energies are from PBE with a Hubbard U. Values from VASP.

E: -4.793 eV per atom
space-group type: No. 2

Cell and atoms, written as Quantum ESPRESSO input:
```
&SYSTEM
  ibrav = 0, nat = 12, ntyp = 4
/
ATOMIC_SPECIES
F 19.00 F.upf
Pb 207.20 Pb.upf
Na 22.99 Na.upf
Fe 55.84 Fe.upf
CELL_PARAMETERS angstrom
5.197 -0.086 0.072
-0.036 5.114 -0.002
0.107 0.007 7.430
ATOMIC_POSITIONS crystal
F 0.695 0.691 0.525
F 0.708 0.786 0.951
Pb 0.452 0.476 0.756
F 0.810 0.154 0.225
Pb 0.548 0.524 0.244
F 0.305 0.309 0.475
Na 0.000 0.000 0.500
F 0.292 0.214 0.049
Fe 0.000 0.000 0.000
F 0.190 0.846 0.775
F 0.891 0.250 0.831
F 0.109 0.750 0.169
```